No. 1
NdCd2Ag10 | PBE | relaxed

Its density of states at the Fermi level is 4.379 states/eV/f.u. The value obtained for the total magnetic moment is 0.00 μB/cell. For the energy relative to the elements, the calculation gives -54 meV/atom. As for the volume: 1045.15 Å³/cell.

The structure belongs to space group Fmmm (No. 69); the cell edges are 5.5641, 13.4802 and 13.9345 Å and the angles 90.00°, 90.00° and 90.00°. Symmetry generates all atoms from Nd at (0.0000, 0.0000, 0.0000), Cd at (0.2500, 0.0000, 0.2500), Ag at (0.0000, 0.1075, 0.3940), Ag at (0.0000, 0.1788, 0.1730) and Ag at (0.2500, 0.2500, 0.0000).

No. 2
KInRu | PBE | relaxed

Its density of states at the Fermi level is 7.695 states/eV/f.u. The value obtained for the total magnetic moment is 8.38 μB/cell. For the energy relative to the elements, the calculation gives 1670 meV/atom. As for the volume: 374.95 Å³/cell.

The structure belongs to space group F-43m (No. 216); the cell edges are 7.2109, 7.2109 and 7.2109 Å and the angles 90.00°, 90.00° and 90.00°. Symmetry generates all atoms from K at (0.0000, 0.0000, 0.0000), In at (0.2500, 0.2500, 0.2500) and Ru at (0.2500, 0.2500, 0.7500).

No. 3
ZrPd6Au3 | PBE | relaxed

Its density of states at the Fermi level is 4.488 states/eV/f.u. The value obtained for the total magnetic moment is 0.00 μB/cell. For the energy relative to the elements, the calculation gives -339 meV/atom. As for the volume: 335.36 Å³/cell.

The structure belongs to space group P2_1/m (No. 11); the cell edges are 8.8361, 4.1466 and 9.1661 Å and the angles 90.00°, 93.08° and 90.00°. Symmetry generates all atoms from Zr at (0.0652, 0.2500, 0.3736), Pd at (0.0501, 0.7500, 0.9021), Pd at (0.1391, 0.2500, 0.6908), Pd at (0.1546, 0.7500, 0.2035), Pd at (0.2384, 0.7500, 0.5026), Pd at (0.3537, 0.2500, 0.3027), Pd at (0.4508, 0.7500, 0.1002), Au at (0.2497, 0.2500, 0.0033), Au at (0.3453, 0.7500, 0.8021) and Au at (0.4480, 0.2500, 0.6010).

No. 4
CeThMn | PBE | relaxed

Its density of states at the Fermi level is 4.779 states/eV/f.u. The value obtained for the total magnetic moment is 1.68 μB/cell. For the energy relative to the elements, the calculation gives 169 meV/atom. As for the volume: 134.44 Å³/cell.

The structure belongs to space group I4mm (No. 107); the cell edges are 3.5057, 3.5057 and 10.9387 Å and the angles 90.00°, 90.00° and 90.00°. Symmetry generates all atoms from Ce at (0.0000, 0.0000, 0.0000), Th at (0.0000, 0.0000, 0.3041) and Mn at (0.0000, 0.0000, 0.6554).

No. 5
CsNbMo3 | PBE | relaxed

Its density of states at the Fermi level is 9.673 states/eV/f.u. The value obtained for the total magnetic moment is 4.76 μB/cell. For the energy relative to the elements, the calculation gives 2107 meV/atom. As for the volume: 129.66 Å³/cell.

The structure belongs to space group Pm-3m (No. 221); the cell edges are 5.0614, 5.0614 and 5.0614 Å and the angles 90.00°, 90.00° and 90.00°. Symmetry generates all atoms from Cs at (0.0000, 0.0000, 0.0000), Nb at (0.5000, 0.5000, 0.5000) and Mo at (0.0000, 0.5000, 0.5000).

No. 6
AcGa2Si | PBE | relaxed

Its density of states at the Fermi level is 2.017 states/eV/f.u. The formation energy from raw total energies is -0.163 eV/atom. The value obtained for the total magnetic moment is 0.00 μB/cell. As for the volume: 91.60 Å³/cell.

The structure belongs to space group P4/mmm (No. 123); the cell edges are 3.6588, 3.6588 and 6.8427 Å and the angles 90.00°, 90.00° and 90.00°. Symmetry generates all atoms from Ac at (0.0000, 0.0000, 0.0000), Ga at (0.5000, 0.5000, 0.3160) and Si at (0.0000, 0.0000, 0.5000).

No. 7
MnSbTeI2 | PBE | relaxed

Its density of states at the Fermi level is 3.636 states/eV/f.u. The formation energy from raw total energies is 0.303 eV/atom. The value obtained for the total magnetic moment is 3.27 μB/cell. As for the volume: 156.96 Å³/cell.

The structure belongs to space group P4/mmm (No. 123); the cell edges are 5.2283, 5.2283 and 5.7421 Å and the angles 90.00°, 90.00° and 90.00°. Symmetry generates all atoms from Mn at (0.0000, 0.0000, 0.0000), Sb at (0.0000, 0.0000, 0.5000), Te at (0.5000, 0.5000, 0.5000) and I at (0.0000, 0.5000, 0.0000).

No. 8
Rb3GaS3 | PBE | relaxed

Its density of states at the Fermi level is 0.000 states/eV/f.u. The formation energy from raw total energies is -1.111 eV/atom. The value obtained for the total magnetic moment is 0.00 μB/cell. As for the volume: 919.51 Å³/cell.

The structure belongs to space group C2/m (No. 12); the cell edges are 8.8760, 13.4689 and 7.8910 Å and the angles 90.00°, 102.91° and 90.00°. Symmetry generates all atoms from Rb at (0.0000, 0.1809, 0.0000), Rb at (0.0000, 0.2478, 0.5000), Rb at (0.1128, 0.5000, 0.8486), Ga at (0.1655, 0.0000, 0.6484), S at (0.0999, 0.0000, 0.3387) and S at (0.2099, 0.3612, 0.2286).

No. 9
Tl5Os4 | PBE | relaxed

Its density of states at the Fermi level is 7.511 states/eV/f.u. The value obtained for the total magnetic moment is 0.17 μB/cell. For the energy relative to the elements, the calculation gives 1279 meV/atom. As for the volume: 347.84 Å³/cell.

The structure belongs to space group P6_3/mcm (No. 193); the cell edges are 8.2496, 8.2496 and 5.9018 Å and the angles 90.00°, 90.00° and 120.00°. Symmetry generates all atoms from Tl at (0.0000, 0.2915, 0.2500), Tl at (0.3333, 0.6667, 0.0000), Os at (0.0000, 0.0000, 0.0000) and Os at (0.0000, 0.3716, 0.7500).

No. 10
CsZnSb2Pb | PBE | relaxed

Its density of states at the Fermi level is 0.623 states/eV/f.u. The formation energy from raw total energies is -0.214 eV/atom. The value obtained for the total magnetic moment is 0.00 μB/cell. As for the volume: 759.76 Å³/cell.

The structure belongs to space group C2/m (No. 12); the cell edges are 15.7752, 4.5921 and 12.4880 Å and the angles 90.00°, 122.87° and 90.00°. Symmetry generates all atoms from Cs at (0.1722, 0.0000, 0.1478), Zn at (0.0760, 0.0000, 0.7505), Sb at (0.0584, 0.5000, 0.8428), Sb at (0.1072, 0.0000, 0.5540) and Pb at (0.1421, 0.5000, 0.4198).

No. 11
ZnSnSe2 | PBE | relaxed

Its density of states at the Fermi level is 0.000 states/eV/f.u. The formation energy from raw total energies is -0.291 eV/atom. The value obtained for the total magnetic moment is 0.00 μB/cell. As for the volume: 414.54 Å³/cell.

The structure belongs to space group R-3m (No. 166, hexagonal axes); the cell edges are 4.6177, 4.6177 and 22.4489 Å and the angles 90.00°, 90.00° and 120.00°. Symmetry generates all atoms from Zn at (0.0000, 0.0000, 0.0000), Sn at (0.0000, 0.0000, 0.5000) and Se at (0.0000, 0.0000, 0.1010).

No. 12
Pm2Pr2Sm4Dy | PBE | relaxed

Its density of states at the Fermi level is 11.647 states/eV/f.u. The value obtained for the total magnetic moment is 0.00 μB/cell. For the energy relative to the elements, the calculation gives 9 meV/atom. As for the volume: 617.36 Å³/cell.

The structure belongs to space group C2/m (No. 12); the cell edges are 19.0629, 3.6744 and 9.7757 Å and the angles 90.00°, 115.63° and 90.00°. Symmetry generates all atoms from Pm at (0.1474, 0.0000, 0.1651), Pr at (0.1652, 0.5000, 0.4999), Sm at (0.0185, 0.5000, 0.8312), Sm at (0.1850, 0.0000, 0.8338) and Dy at (0.0000, 0.0000, 0.5000).

No. 13
Sm2Tm2Pb2N | PBE | relaxed

Its density of states at the Fermi level is 5.189 states/eV/f.u. The formation energy from raw total energies is -0.909 eV/atom. The value obtained for the total magnetic moment is 0.01 μB/cell. As for the volume: 361.62 Å³/cell.

The structure belongs to space group I4/mmm (No. 139); the cell edges are 4.6830, 4.6830 and 16.4891 Å and the angles 90.00°, 90.00° and 90.00°. Symmetry generates all atoms from Sm at (0.0000, 0.0000, 0.1622), Tm at (0.0000, 0.5000, 0.0000), Pb at (0.0000, 0.0000, 0.3611) and N at (0.0000, 0.0000, 0.0000).